! MoAsO3 | Alexandria via LeMat-Bulk | PBE+U | optimized geometry; values from VASP
&SYSTEM
  ibrav = 0, nat = 5, ntyp = 3
/
ATOMIC_SPECIES
O 16.00 O.upf
As 74.92 As.upf
Mo 95.94 Mo.upf
CELL_PARAMETERS angstrom
3.990 0.000 0.000
0.000 3.990 0.000
0.000 0.000 3.990
ATOMIC_POSITIONS crystal
O 0.500 0.000 0.000
O 0.000 0.000 0.500
O 0.000 0.500 0.000
As 0.500 0.500 0.500
Mo 0.000 0.000 0.000
! Spin magnetization, μB per formula unit: 2.915
! Mass density, g cm⁻³: 5.72
! Total energy, eV per atom: -5.99